(1)
5
Lattice="4.6979 0.0000 0.0000 0.0000 4.6979 0.0000 0.0000 0.0000 4.6979" Properties=species:S:1:pos:R:3 comment="GGA-PBEsol PtS3Br, relaxed" volume_a3_per_cell=103.7 magmom_total_mub_per_atom=0.306 e_form_raw_ev_per_atom=1.594 rho_g_cm3=5.94 space_group="Pm-3m (221)" pbc="T T T"
Pt 2.3489 2.3489 2.3489
S 0.0000 2.3489 0.0000
S 0.0000 0.0000 2.3489
S 2.3489 0.0000 0.0000
Br 0.0000 0.0000 0.0000


(2)
4
Lattice="-2.6572 2.0524 -2.0478 -2.7787 -2.5957 1.0041 1.7603 2.7310 4.2293" Properties=species:S:1:pos:R:3 comment="GGA-PBEsol YTeRu2, relaxed" volume_a3_per_cell=70.4 magmom_total_mub_per_atom=0.000 e_form_raw_ev_per_atom=-0.097 rho_g_cm3=9.88 space_group="I-4m2 (119)" pbc="T T T"
Te -2.7180 -0.2716 -0.5218
Y -1.8681 -0.0681 2.3558
Ru -1.8074 2.2559 0.8298
Ru 0.0000 0.0000 0.0000


(3)
4
Lattice="4.0972 0.0000 0.0000 2.0486 3.5483 0.0000 2.0486 1.1828 5.9778" Properties=species:S:1:pos:R:3 comment="GGA-PBEsol BaCrSi2, relaxed" volume_a3_per_cell=86.9 magmom_total_mub_per_atom=0.577 e_form_raw_ev_per_atom=-0.097 rho_g_cm3=4.69 space_group="R-3m (166)" pbc="T T T"
Ba 4.0972 2.3655 2.9889
Si 6.1459 3.5483 5.3384
Si 2.0486 1.1828 0.6394
Cr 0.0000 0.0000 0.0000


(4)
4
Lattice="4.3707 0.0000 0.0000 2.1854 3.7851 0.0000 2.1854 1.2617 3.5687" Properties=species:S:1:pos:R:3 comment="GGA-PBEsol OsRh2Br, relaxed" volume_a3_per_cell=59.0 magmom_total_mub_per_atom=0.073 e_form_raw_ev_per_atom=0.984 rho_g_cm3=13.39 space_group="F-43m (216)" pbc="T T T"
Br 4.3707 2.5234 1.7843
Rh 6.5561 3.7851 2.6765
Rh 0.0000 0.0000 0.0000
Os 2.1854 1.2617 0.8922


(5)
4
Lattice="-3.0811 -2.2901 0.0013 0.9748 -1.3134 -3.4731 3.1122 -0.9676 3.3611" Properties=species:S:1:pos:R:3 comment="GGA-PBEsol IrRu2W, relaxed" volume_a3_per_cell=56.2 magmom_total_mub_per_atom=0.000 rho_g_cm3=17.08 formation_energy_mev_per_atom=-91 space_group="I4/mmm (139)" pbc="T T T"
Ru 1.5169 -2.0414 -0.9239
Ru -0.5110 -2.5297 0.8132
Ir -1.0531 -1.8017 -1.7359
W 0.0000 0.0000 0.0000


(6)
4
Lattice="4.5302 0.0000 0.0000 0.0000 4.5302 0.0000 -2.2651 -2.2651 5.0378" Properties=species:S:1:pos:R:3 comment="GGA-PBEsol KLi2Al, relaxed" volume_a3_per_cell=103.4 magmom_total_mub_per_atom=0.000 rho_g_cm3=1.28 formation_energy_mev_per_atom=278 space_group="I-4m2 (119)" pbc="T T T"
Li 2.2651 0.0000 2.5189
Li 0.0000 0.0000 0.0000
K 0.0000 2.2651 2.5189
Al 2.2651 2.2651 0.0000


(7)
20
Lattice="5.3877 -0.0082 0.0000 -2.6113 4.7682 0.0000 0.0000 0.0000 8.2202" Properties=species:S:1:pos:R:3 comment="GGA-PBEsol Al2O3, relaxed" volume_a3_per_cell=211.0 magmom_total_mub_per_atom=0.000 e_form_raw_ev_per_atom=-2.948 rho_g_cm3=3.21 space_group="P2_1/c (14)" pbc="T T T"
O -0.6329 4.3061 1.6855
O -0.4074 3.2109 4.2918
O 3.1837 1.5490 3.9284
O 3.4092 0.4539 6.5346
O 0.6556 0.4998 5.0176
O 0.6728 1.9220 2.4245
O -0.6501 2.8839 7.3127
O 0.8983 0.8268 8.0385
O 2.1035 2.8380 5.7956
O 2.1208 4.2601 3.2026
O 3.4264 1.8760 0.9075
O 1.8781 3.9331 0.1817
Al 0.5213 3.6487 2.8316
Al -1.7257 3.6667 0.3483
Al 2.2550 1.1112 5.3886
Al 1.8270 1.2646 1.2785
Al 4.5020 1.0932 7.8718
Al -0.4200 1.2826 3.7617
Al 3.1963 3.4773 4.4584
Al 0.9493 3.4953 6.9417


(8)
5
Lattice="-4.2034 0.4646 2.6204 -2.7618 -1.6123 -4.1444 0.4622 -4.9562 1.6202" Properties=species:S:1:pos:R:3 comment="GGA-PBEsol AgSn2GeAs, relaxed" volume_a3_per_cell=136.3 magmom_total_mub_per_atom=0.000 rho_g_cm3=6.00 formation_energy_mev_per_atom=726 space_group="P4/mmm (123)" pbc="T T T"
Sn -1.3809 -0.8061 -2.0722
Sn 0.2311 -2.4781 0.8101
Ge -2.1017 0.2323 1.3102
As 0.0000 0.0000 0.0000
Ag -3.2515 -3.0519 0.0481


(9)
4
Lattice="-1.6739 -0.9334 2.3666 2.7891 0.4927 1.1190 -2.1810 8.3602 1.7548" Properties=species:S:1:pos:R:3 comment="GGA-PBEsol CaTa2As, relaxed" volume_a3_per_cell=78.8 magmom_total_mub_per_atom=0.000 rho_g_cm3=10.05 formation_energy_mev_per_atom=-12 space_group="Cmm2 (35)" pbc="T T T"
Ta -2.1137 8.1021 1.7006
Ta -1.0495 5.9399 3.0358
Ca -0.0231 2.0054 2.2100
As -1.1511 4.4124 0.9261


(10)
3
Lattice="-3.7170 -0.0003 2.8606 -2.4829 -3.9308 0.6185 0.1936 -2.2760 4.0965" Properties=species:S:1:pos:R:3 comment="GGA-PBEsol SrTaSi, relaxed" volume_a3_per_cell=73.0 magmom_total_mub_per_atom=0.866 e_form_raw_ev_per_atom=1.091 rho_g_cm3=6.75 space_group="F-43m (216)" pbc="T T T"
Si 0.0000 0.0000 0.0000
Sr -3.0031 -3.1035 3.7878
Ta -1.5016 -1.5518 1.8939


(11)
5
Lattice="4.8060 0.0000 0.0000 0.0000 4.8060 0.0000 0.0000 0.0000 4.8369" Properties=species:S:1:pos:R:3 comment="GGA-PBEsol RbLiNi2Au, relaxed" volume_a3_per_cell=111.7 magmom_total_mub_per_atom=0.218 rho_g_cm3=6.05 formation_energy_mev_per_atom=586 space_group="P4/mmm (123)" pbc="T T T"
Li 0.0000 0.0000 2.4185
Ni 2.4030 0.0000 0.0000
Ni 0.0000 2.4030 0.0000
Rb 2.4030 2.4030 2.4185
Au 0.0000 0.0000 0.0000


(12)
4
Lattice="-0.4447 -2.0725 1.5730 -1.4881 -1.1065 -1.8785 5.9317 -3.3443 -2.7292" Properties=species:S:1:pos:R:3 comment="GGA-PBEsol Mn2IrPt, relaxed" volume_a3_per_cell=51.1 magmom_total_mub_per_atom=0.827 rho_g_cm3=16.15 formation_energy_mev_per_atom=-127 space_group="P4/mmm (123)" pbc="T T T"
Mn 1.5256 -0.8601 -0.7019
Mn 4.4061 -2.4842 -2.0273
Ir 1.9994 -3.2616 -1.5173
Pt -0.9664 -1.5895 -0.1527


(13)
20
Lattice="-1.3327 0.1059 5.2772 -3.4536 -4.2230 -0.7874 5.8277 -5.0509 1.5286" Properties=species:S:1:pos:R:3 comment="GGA-PBEsol NaNdMgWO6, relaxed" volume_a3_per_cell=235.9 magmom_total_mub_per_atom=0.000 e_form_raw_ev_per_atom=-2.673 rho_g_cm3=6.64 space_group="P2_1 (4)" pbc="T T T"
W 1.6230 -5.6838 4.6614
W -2.2030 -5.4669 0.9873
Na 1.8950 -2.4860 4.7020
Na 0.8161 -4.6405 1.6971
O 0.0868 -2.5324 2.5173
O -0.7019 -6.5112 0.9193
O 2.5990 -4.8479 3.3035
O -0.8249 -1.6971 5.2991
O -1.8532 -4.6817 2.6475
O 2.6760 -4.8631 6.1003
O 3.1653 -7.0798 4.6476
O 0.7689 -6.8628 3.4588
O -0.4236 -0.0091 1.7586
O 0.2858 -4.4392 4.7668
O 2.2647 -6.9839 0.8102
O -1.3836 -3.9982 -0.0247
Mg -1.1709 -3.2365 3.9781
Mg 0.6246 -7.8731 1.6783
Nd 3.9919 -6.8744 2.4550
Nd -4.2500 -3.8827 3.2672


(14)
4
Lattice="3.4875 0.0000 0.0000 0.0000 3.4875 0.0000 0.0000 0.0000 7.2144" Properties=species:S:1:pos:R:3 comment="GGA-PBEsol Al2InSb, relaxed" volume_a3_per_cell=87.7 magmom_total_mub_per_atom=0.000 e_form_raw_ev_per_atom=0.149 rho_g_cm3=5.50 space_group="P4mm (99)" pbc="T T T"
Al 0.0000 0.0000 0.1552
Al 1.7437 1.7437 1.5443
In 0.0000 0.0000 3.3733
Sb 1.7437 1.7437 5.7487


(15)
5
Lattice="-2.3530 -2.8422 2.3731 3.5892 -2.4415 0.6347 1.1942 2.9963 4.7727" Properties=species:S:1:pos:R:3 comment="GGA-PBEsol MnAgBiF2, relaxed" volume_a3_per_cell=110.9 magmom_total_mub_per_atom=0.910 e_form_raw_ev_per_atom=-0.504 rho_g_cm3=6.14 space_group="P4/mmm (123)" pbc="T T T"
F 1.7946 -1.2207 0.3174
F -1.1765 -1.4211 1.1865
Mn 0.5971 1.4981 2.3863
Bi 0.0000 0.0000 0.0000
Ag 1.2152 -1.1437 3.8902


(16)
36
Lattice="7.7488 0.0676 0.0000 -0.4798 7.7342 0.0000 -3.6345 -3.9009 6.2155" Properties=species:S:1:pos:R:3 comment="GGA-PBEsol RbPH6C2N4O4, relaxed" final_energy_ev_per_atom=-6.5801 volume_a3_per_cell=372.7 magmom_total_mub_per_atom=0.000 rho_g_cm3=2.38 space_group="Fdd2 (43)" pbc="T T T"
N 6.5282 6.3574 0.5675
N -2.3544 0.3618 5.9719
N 5.2629 0.8747 3.6752
N -0.2873 -1.5442 2.8641
N 5.1545 4.2965 3.3513
N -2.2460 -3.0600 5.6480
N 3.1073 6.2238 0.2436
N 3.1337 -1.4106 2.5402
P 2.9266 4.5604 0.0000
P -0.9478 4.5266 3.1077
H 4.6987 0.8033 2.8088
H 4.5612 4.0953 2.5171
H -1.4641 0.8522 3.6124
H -0.1284 -0.9381 3.6983
H 3.1650 -0.8428 3.4067
H 6.5554 5.3350 0.5046
H 2.6810 5.3012 2.6031
H -0.3683 2.9290 5.6249
H 0.6868 4.0615 0.5906
H 2.9251 3.0243 5.9165
H 0.8243 0.7695 0.2989
H -1.2242 -3.0149 5.7108
Rb 5.5860 2.0827 0.0000
Rb 1.7116 2.0489 3.1077
C -0.4151 -0.8208 1.7057
C 4.6638 0.5059 4.8134
C 3.4592 -0.7870 1.4021
C 4.4239 4.3730 4.5098
O 3.2788 3.8456 1.2788
O -0.5955 3.8118 1.8289
O 0.0301 0.3586 4.9367
O -0.2098 4.2258 4.3865
O 3.1831 4.1036 4.4810
O 3.4230 0.2365 4.8422
O -0.2340 0.4359 1.7345
O 3.6403 0.4697 1.3733


(17)
48
Lattice="-5.3605 4.2250 1.7429 -1.5997 -4.4773 5.9331 7.8120 6.8960 7.3103" Properties=species:S:1:pos:R:3 comment="GGA-PBEsol NaCu3O2, relaxed" volume_a3_per_cell=681.7 magmom_total_mub_per_atom=0.000 e_form_raw_ev_per_atom=-0.611 rho_g_cm3=4.79 space_group="Pbca (61)" pbc="T T T"
Cu 2.3624 3.2831 3.1644
Cu 1.0552 3.6287 11.9474
Cu -0.7251 -0.9749 3.9904
Cu 5.5671 5.2865 8.7406
Cu -1.0913 0.6987 5.9232
Cu -4.7154 1.3573 6.2457
Cu 0.6501 2.6353 5.4142
Cu 1.9531 3.4409 8.0447
Cu -4.1888 -1.0551 7.7675
Cu -4.3026 1.3249 8.7642
Cu 4.2665 3.0025 9.1063
Cu 1.5768 7.6187 10.9959
Cu -1.5107 3.3606 11.8219
Cu -1.1013 3.2029 6.9416
Cu -3.4148 3.6412 5.8800
Cu 2.6144 1.1474 9.6926
Cu -2.3026 -1.5038 6.3662
Cu 0.2016 4.0084 9.5721
Cu -0.2035 3.0150 3.0390
Cu 3.1543 8.1475 8.6201
Cu 1.9430 5.9450 9.0631
Cu 5.1543 5.3188 6.2221
Cu -1.7627 5.4963 5.2937
Cu 5.0405 7.6989 7.2188
O 5.3999 4.0190 10.1118
O 0.9610 3.9320 4.1383
O 6.2212 6.3127 7.3532
O -2.2197 4.6440 6.8656
O -1.3148 2.0603 1.9517
O 4.0492 4.3592 5.1328
O -0.1093 2.7117 10.8480
O 3.0714 1.9997 8.1208
O -4.5482 2.6248 4.8745
O 0.0359 1.7201 6.9307
O -5.3694 0.3310 7.6332
O -3.1974 2.2846 9.8535
O -2.1888 -0.3810 4.9059
O 3.0405 7.0248 10.0804
O 2.1665 4.5835 13.0346
O 0.8158 4.9237 8.0556
Na 1.8967 0.2698 7.0097
Na -1.1161 1.4516 9.1145
Na -1.0450 6.3739 7.9766
Na 0.7988 6.4689 13.4170
Na -2.9599 1.3566 3.6741
Na 3.8116 5.2871 11.3122
Na 0.0529 0.1748 1.5693
Na 1.9679 5.1921 5.8718


(18)
6
Lattice="-1.1058 -4.5732 -0.0284 1.7617 2.0185 -3.8678 4.2387 -1.0336 1.3913" Properties=species:S:1:pos:R:3 comment="GGA-PBEsol P5Rh, relaxed" volume_a3_per_cell=87.8 magmom_total_mub_per_atom=0.000 rho_g_cm3=4.88 formation_energy_mev_per_atom=376 space_group="P-62m (189)" pbc="T T T"
P 2.9252 -0.6955 -1.8924
P -0.8029 -3.3207 -0.0207
P 1.9694 -2.8928 -0.6126
P 0.1796 -0.6997 -1.0671
P 1.2792 1.4656 -2.8085
Rh 2.1194 -0.5168 0.6956


(19)
4
Lattice="4.3885 0.0000 0.0000 2.1942 3.8005 0.0000 2.1942 1.2668 3.5832" Properties=species:S:1:pos:R:3 comment="GGA-PBEsol Mn2NbCl, relaxed" volume_a3_per_cell=59.8 magmom_total_mub_per_atom=1.226 e_form_raw_ev_per_atom=0.814 rho_g_cm3=6.62 space_group="Fm-3m (225)" pbc="T T T"
Nb 4.3885 2.5337 1.7916
Mn 2.1942 1.2668 0.8958
Mn 6.5827 3.8005 2.6874
Cl 0.0000 0.0000 0.0000


(20)
8
Lattice="4.6734 0.0000 0.0000 0.0000 4.6734 0.0000 -2.3367 -2.3367 5.0882" Properties=species:S:1:pos:R:3 comment="GGA-PBEsol MgAsO2, relaxed" volume_a3_per_cell=111.1 magmom_total_mub_per_atom=0.000 e_form_raw_ev_per_atom=-1.217 rho_g_cm3=3.92 space_group="I-42d (122)" pbc="T T T"
O 1.3040 3.5051 1.2721
O -1.1684 -1.0327 3.8162
O 1.1684 1.0327 3.8162
O 3.3694 1.1684 1.2721
Mg 2.3367 0.0000 2.5441
Mg 2.3367 2.3367 0.0000
As 0.0000 0.0000 0.0000
As 0.0000 2.3367 2.5441